Entry 1:
# MgTaH, optimized geometry, DFT PBE
data_MgTaH
_symmetry_space_group_name_H-M 'P 1'
_symmetry_Int_Tables_number 1
_symmetry_space_group_name_Hall 'P 1'
_cell_length_a 2.946
_cell_length_b 4.970
_cell_length_c 5.738
_cell_angle_alpha 88.94
_cell_angle_beta 98.14
_cell_angle_gamma 85.70
loop_
_atom_site_label
_atom_site_type_symbol
_atom_site_fract_x
_atom_site_fract_y
_atom_site_fract_z
Mg1 Mg 0.137 0.762 0.388
Mg2 Mg 0.863 0.238 0.612
Ta1 Ta 0.644 0.768 0.895
Ta2 Ta 0.356 0.232 0.105
H1 H 0.183 0.510 0.854
H2 H 0.817 0.490 0.146
# - total energy (eV per atom) = -5.5293
# - polymorph energy (0 for the lowest one) (kJ/mol of formula units) = 37


Entry 2:
# KCd2MoIr, optimized geometry, DFT PBE
data_KCd2MoIr
_symmetry_space_group_name_H-M 'P 1'
_symmetry_Int_Tables_number 1
_symmetry_space_group_name_Hall 'P 1'
_cell_length_a 5.434
_cell_length_b 6.216
_cell_length_c 5.434
_cell_angle_alpha 90.00
_cell_angle_beta 90.00
_cell_angle_gamma 90.00
loop_
_atom_site_label
_atom_site_type_symbol
_atom_site_fract_x
_atom_site_fract_y
_atom_site_fract_z
K1 K 0.000 0.500 0.000
Mo1 Mo 0.000 0.000 0.000
Ir1 Ir 0.500 0.500 0.500
Cd1 Cd 0.000 0.000 0.500
Cd2 Cd 0.500 0.000 0.000
# - total energy (eV per atom) = -2.5991
# - polymorph energy (0 for the lowest one) (kJ/mol of formula units) = 0
# - energy of formation from the pure elements (eV per formula unit) = 9.6